1.
This record from the Alexandria database describes a relaxed Ca2MgSi3Pt4 crystal. The functional is PBE.

Output
Space group ... P-4m2, No. 115
E_form (uncorrected) ... -0.94 eV/atom
M_tot ... 0.000 μB/cell

abc: 4.2198 4.2198 10.2863
angles: 90.00 90.00 90.00
Positions (direct):
1 Si 0.0000 0.5000 0.1263
2 Si 0.0000 0.0000 0.5000
3 Si 0.5000 0.0000 0.8737
4 Mg 0.5000 0.5000 0.5000
5 Pt 0.0000 0.0000 0.0000
6 Pt 0.5000 0.0000 0.6429
7 Pt 0.0000 0.5000 0.3571
8 Pt 0.5000 0.5000 0.0000
9 Ca 0.0000 0.5000 0.7544
10 Ca 0.5000 0.0000 0.2456


2.
This record from the Alexandria database describes a relaxed Ca2MgSn4Pt3 crystal. The functional is PBE.

Output
Space group ... P-4m2, No. 115
M_tot ... 0.000 μB/cell
Energy relative to the elements ... -0.673 eV/atom

abc: 4.4452 4.4452 11.7563
angles: 90.00 90.00 90.00
Positions (direct):
1 Mg 0.5000 0.5000 0.5000
2 Sn 0.5000 0.0000 0.6439
3 Sn 0.0000 0.0000 0.0000
4 Sn 0.5000 0.5000 0.0000
5 Sn 0.0000 0.5000 0.3561
6 Pt 0.0000 0.5000 0.1326
7 Pt 0.0000 0.0000 0.5000
8 Pt 0.5000 0.0000 0.8674
9 Ca 0.5000 0.0000 0.2474
10 Ca 0.0000 0.5000 0.7526


3.
This record from the Alexandria database describes a relaxed SrCaMg2Pt crystal. The functional is PBE.

Output
Space group ... P4/mmm, No. 123
M_tot ... 0.000 μB/cell
E above lowest polymorph ... 0.0800 eV per atom
Energy relative to the elements ... -0.318 eV/atom

abc: 5.2430 5.2430 5.6833
angles: 90.00 90.00 90.00
Positions (direct):
1 Pt 0.0000 0.0000 0.0000
2 Mg 0.5000 0.0000 0.0000
3 Mg 0.0000 0.5000 0.0000
4 Sr 0.0000 0.0000 0.5000
5 Ca 0.5000 0.5000 0.5000


4.
This record from the Alexandria database describes a relaxed SrCaMg2Pt crystal. The functional is PBE.

Output
Space group ... P4/mmm, No. 123
M_tot ... 0.000 μB/cell
E above lowest polymorph ... 0.0000 eV per atom
Energy relative to the elements ... -0.398 eV/atom

abc: 5.2555 5.2555 5.4633
angles: 90.00 90.00 90.00
Positions (direct):
1 Ca 0.0000 0.0000 0.5000
2 Sr 0.5000 0.5000 0.5000
3 Pt 0.0000 0.0000 0.0000
4 Mg 0.5000 0.0000 0.0000
5 Mg 0.0000 0.5000 0.0000


5.
This record from the Alexandria database describes a relaxed Ca2MgTi2Pt5 crystal. The functional is PBE.

Output
Space group ... P4/mbm, No. 127
M_tot ... 0.000 μB/cell
Energy relative to the elements ... -0.762 eV/atom

abc: 3.2543 10.7478 10.7478
angles: 90.00 90.00 90.00
Positions (direct):
1 Pt 0.5000 0.8022 0.9422
2 Pt 0.5000 0.9422 0.1978
3 Pt 0.5000 0.6978 0.4422
4 Pt 0.5000 0.0000 0.5000
5 Pt 0.5000 0.5000 0.0000
6 Pt 0.5000 0.5578 0.6978
7 Pt 0.5000 0.4422 0.3022
8 Pt 0.5000 0.0578 0.8022
9 Pt 0.5000 0.1978 0.0578
10 Pt 0.5000 0.3022 0.5578
11 Mg 0.0000 0.0000 0.0000
12 Mg 0.0000 0.5000 0.5000
13 Ca 0.0000 0.6722 0.1722
14 Ca 0.0000 0.1722 0.3278
15 Ca 0.0000 0.8278 0.6722
16 Ca 0.0000 0.3278 0.8278
17 Ti 0.0000 0.8656 0.3656
18 Ti 0.0000 0.3656 0.1344
19 Ti 0.0000 0.1344 0.6344
20 Ti 0.0000 0.6344 0.8656


6.
This record from the Alexandria database describes a relaxed CaMg2TlPt crystal. The functional is PBE.

Output
Space group ... P4/mmm, No. 123
M_tot ... 0.000 μB/cell
Energy relative to the elements ... -0.389 eV/atom

abc: 5.0906 5.0906 5.4608
angles: 90.00 90.00 90.00
Positions (direct):
1 Pt 0.0000 0.0000 0.0000
2 Mg 0.0000 0.5000 0.0000
3 Mg 0.5000 0.0000 0.0000
4 Ca 0.0000 0.0000 0.5000
5 Tl 0.5000 0.5000 0.5000


7.
This record from the Alexandria database describes a relaxed Ca2MgTlPt crystal. The functional is PBE.

Output
Space group ... P4/mmm, No. 123
M_tot ... 0.000 μB/cell
Energy relative to the elements ... -0.461 eV/atom

abc: 5.5311 5.5311 5.0700
angles: 90.00 90.00 90.00
Positions (direct):
1 Ca 0.0000 0.5000 0.0000
2 Ca 0.5000 0.0000 0.0000
3 Mg 0.0000 0.0000 0.5000
4 Pt 0.0000 0.0000 0.0000
5 Tl 0.5000 0.5000 0.5000


8.
This record from the Alexandria database describes a relaxed CaYMg2Pt crystal. The functional is PBE.

Output
Space group ... P4/mmm, No. 123
M_tot ... 0.000 μB/cell
Energy relative to the elements ... -0.401 eV/atom

abc: 5.2006 5.2006 5.3178
angles: 90.00 90.00 90.00
Positions (direct):
1 Mg 0.0000 0.5000 0.0000
2 Mg 0.5000 0.0000 0.0000
3 Ca 0.5000 0.5000 0.5000
4 Y 0.0000 0.0000 0.5000
5 Pt 0.0000 0.0000 0.0000


Look up the M_tot of the seventh one. 0.000 μB/cell


Please write out number 7 again, unchanged.
This record from the Alexandria database describes a relaxed Ca2MgTlPt crystal. The functional is PBE.

Output
Space group ... P4/mmm, No. 123
M_tot ... 0.000 μB/cell
Energy relative to the elements ... -0.461 eV/atom

abc: 5.5311 5.5311 5.0700
angles: 90.00 90.00 90.00
Positions (direct):
1 Ca 0.0000 0.5000 0.0000
2 Ca 0.5000 0.0000 0.0000
3 Mg 0.0000 0.0000 0.5000
4 Pt 0.0000 0.0000 0.0000
5 Tl 0.5000 0.5000 0.5000


What is the M_tot in the fourth record? 0.000 μB/cell